Density functional theory data (GGA+U) for a geometry-optimized MnAgBiF2 structure.

The structure in CIF format:
```
data_MnAgBiF2
_space_group_name_H-M_alt 'P 1'
_space_group_IT_number 1
_cell_length_a 4.476
_cell_length_b 6.072
_cell_length_c 4.476
_cell_angle_alpha 90.00
_cell_angle_beta 90.00
_cell_angle_gamma 90.00
loop_
_space_group_symop_operation_xyz
'x,y,z'
loop_
_atom_site_label
_atom_site_fract_x
_atom_site_fract_y
_atom_site_fract_z
Mn1 0.000 0.500 0.000
Ag1 0.500 0.500 0.500
F1 0.000 0.000 0.500
F2 0.500 0.000 0.000
Bi1 0.000 0.000 0.000
```

Summary:
**E**: -4.36 eV/atom
**Total moment**: 4.9 μB/f.u.